[1]
DFT (PBE-GGA) results for a geometry-optimized AlSb2Pt structure.

N(E_F) (states/eV per cell): 2.4
SG: P4/mmm, No. 123
Total energy (eV for the cell shown): -17.62
ΔE_f (raw) (eV per formula unit): 0.413

POSCAR file:
```
AlSb2Pt
1.0
4.713 0.000 0.000
0.000 4.713 0.000
0.000 0.000 3.768
Al Sb Pt
1 2 1
Direct
0.000 0.000 0.000
0.000 0.500 0.500
0.500 0.000 0.500
0.500 0.500 0.000
```

[2]
DFT (PBE-GGA) results for a geometry-optimized Ba2TbMg2Bi4 structure.

N(E_F) (states/eV per cell): 3.6
SG: C2/m, No. 12
Total energy (eV for the cell shown): -33.68
Energy relative to the elements (kcal/mol of atoms): -16.628

POSCAR file:
```
Ba2TbMg2Bi4
1.0
8.556 -2.449 0.000
8.556 2.449 0.000
-2.580 0.000 7.481
Ba Tb Mg Bi
2 1 2 4
Direct
0.136 0.136 0.090
0.864 0.864 0.910
0.000 0.000 0.500
0.331 0.331 0.511
0.669 0.669 0.489
0.202 0.202 0.704
0.499 0.499 0.231
0.501 0.501 0.769
0.798 0.798 0.296
```